Co3AuBr after structural relaxation, computed with PBE.

Calculated values
The relative energy among the computed polymorphs comes out at 0 meV per atom. Its uncorrected energy is -4.19 eV per atom. The space group is Pm-3m, No. 221. The uncorrected formation energy is 1.06 eV per atom.

a = 4.327 Å, b = 4.327 Å, c = 4.327 Å
α = 90.00°, β = 90.00°, γ = 90.00°
Positions (direct):
Co 0.000 0.000 0.500
Co 0.000 0.500 0.000
Co 0.500 0.000 0.000
Au 0.500 0.500 0.500
Br 0.000 0.000 0.000

=====

CoAuBr after structural relaxation, computed with PBE.

Calculated values
The relative energy among the computed polymorphs comes out at 292 meV per atom. Its uncorrected energy is -3.45 eV per atom. The space group is F-43m, No. 216. The uncorrected formation energy is 0.56 eV per atom.

a = 4.418 Å, b = 4.418 Å, c = 4.418 Å
α = 60.00°, β = 60.00°, γ = 60.00°
Positions (direct):
Co 0.000 0.000 0.000
Au 0.250 0.250 0.250
Br 0.750 0.750 0.750

=====

Co2AuBr after structural relaxation, computed with PBE.

Calculated values
The relative energy among the computed polymorphs comes out at 424 meV per atom. Its uncorrected energy is -3.99 eV per atom. The space group is I-4m2, No. 119. The uncorrected formation energy is 0.80 eV per atom.

a = 5.101 Å, b = 5.101 Å, c = 5.101 Å
α = 135.62°, β = 135.62°, γ = 64.56°
Positions (direct):
Co 0.000 0.000 0.000
Co 0.750 0.250 0.500
Au 0.250 0.750 0.500
Br 0.500 0.500 0.000

=====

Co2AuBr after structural relaxation, computed with PBE.

Calculated values
The relative energy among the computed polymorphs comes out at 114 meV per atom. Its uncorrected energy is -4.30 eV per atom. The space group is Imm2, No. 44. The uncorrected formation energy is 0.49 eV per atom.

a = 6.239 Å, b = 6.239 Å, c = 6.239 Å
α = 151.13°, β = 139.82°, γ = 50.23°
Positions (direct):
Co 0.000 0.000 0.000
Co 0.848 0.348 0.500
Au 0.474 0.474 0.000
Br 0.196 0.696 0.500

=====

Q: relative energy among the computed polymorphs of number 3 (Co2AuBr)?
A: 424 meV per atom